A geometry-optimized NiAsP2O structure, computed with GGA+U.

Properties
M_tot = 0.00 Bohr magnetons per cell
final energy = -4.123 eV/atom
crystal system = tetragonal
energy relative to the lowest polymorph listed for this composition = 0 meV per atom

Unit cell a=4.5648 b=4.5648 c=3.5017 alpha=90.00 beta=90.00 gamma=90.00
Fractional positions:
Ni: 0.0000 0.0000 0.0000
As: 0.5000 0.5000 0.5000
O: 0.0000 0.0000 0.5000
P: 0.0000 0.5000 0.0000
P: 0.5000 0.0000 0.0000